(1)
PBE-GGA Cs2RbHg2H6, relaxed; total energy = -2.169 eV per atom
1.0
6.283 0.000 0.000
-3.141 5.910 -0.147
0.000 -3.570 7.185
Cs Rb Hg H
2 1 2 6
direct
0.700 0.400 0.187
0.300 0.600 0.813
0.500 0.000 0.500
0.964 0.929 0.746
0.036 0.071 0.254
0.795 0.590 0.641
0.189 0.896 0.180
0.294 0.104 0.820
0.811 0.104 0.820
0.706 0.896 0.180
0.205 0.410 0.359

---

(2)
PBE-GGA Cs2HgH6Rh, relaxed; total energy = -3.055 eV per atom
1.0
-3.633 3.269 -2.052
0.684 -2.827 -5.715
-4.342 -2.208 4.170
Cs Hg H Rh
2 1 6 1
direct
0.257 0.333 0.667
0.743 0.667 0.333
0.500 0.000 0.000
0.834 0.132 0.264
0.834 0.132 0.868
0.834 0.736 0.868
0.166 0.868 0.132
0.166 0.264 0.132
0.166 0.868 0.736
0.000 0.000 0.000

---

(3)
PBE-GGA Cs2Hg2H4Rh, relaxed; total energy = -2.752 eV per atom
1.0
6.479 0.366 0.528
-2.789 5.860 -0.528
-2.789 -2.553 5.300
Cs Hg H Rh
2 2 4 1
direct
0.500 0.750 0.250
0.500 0.250 0.750
0.000 0.676 0.676
0.000 0.324 0.324
0.000 0.835 0.165
0.669 0.835 0.835
0.000 0.165 0.835
0.331 0.165 0.165
0.000 0.000 0.000

---

(4)
PBE-GGA CsHgHS2, relaxed; total energy = -3.021 eV per atom
1.0
5.444 0.000 0.000
0.000 7.128 0.000
0.000 -3.564 6.848
Cs Hg H S
2 2 2 4
direct
0.263 0.750 0.500
0.737 0.250 0.500
0.500 0.750 0.000
0.500 0.250 0.000
0.000 0.000 0.000
0.000 0.500 0.000
0.779 0.915 0.829
0.779 0.585 0.171
0.221 0.415 0.829
0.221 0.085 0.171

---

(5)
PBE-GGA Cs2HgSbH, relaxed; total energy = -2.084 eV per atom
1.0
-0.232 6.576 -0.029
-6.241 -0.211 2.073
1.357 0.066 4.092
Cs Sb Hg H
2 1 1 1
direct
0.000 0.500 0.000
0.500 0.000 0.000
0.000 0.000 0.500
0.500 0.500 0.500
0.000 0.000 0.000

---

(6)
PBE-GGA Cs2HgHSe, relaxed; total energy = -2.176 eV per atom
1.0
6.156 0.000 0.000
0.000 6.156 0.000
0.000 0.000 4.287
Cs H Hg Se
2 1 1 1
direct
0.000 0.500 0.000
0.500 0.000 0.000
0.000 0.000 0.000
0.000 0.000 0.500
0.500 0.500 0.500

---

(7)
PBE-GGA CsSnHg2H, relaxed; total energy = -1.721 eV per atom
1.0
-5.751 0.842 -2.003
-2.057 -3.935 4.252
-0.473 3.143 2.679
Cs H Hg Sn
1 1 2 1
direct
0.500 0.500 0.500
0.000 0.000 0.500
0.000 0.500 0.000
0.500 0.000 0.000
0.000 0.000 0.000

---

(8)
PBE-GGA Cs2TcHgH, relaxed; total energy = -2.466 eV per atom
1.0
-3.044 -5.253 -3.101
2.694 -2.186 1.059
-3.402 -1.414 5.735
Cs H Hg Tc
2 1 1 1
direct
0.000 0.000 0.500
0.500 0.000 0.000
0.000 0.500 0.000
0.500 0.500 0.500
0.000 0.000 0.000

---

(9)
PBE-GGA Cs2HgTeH, relaxed; total energy = -2.111 eV per atom
1.0
-4.299 -1.186 -4.649
-0.238 -6.182 1.797
-3.225 0.923 2.747
Cs H Te Hg
2 1 1 1
direct
0.000 0.500 0.000
0.500 0.000 0.000
0.000 0.000 0.000
0.500 0.500 0.500
0.000 0.000 0.500

---

(10)
PBE-GGA Cs2HgTe2H, relaxed; total energy = -2.276 eV per atom
1.0
-2.303 -6.572 2.890
7.624 -2.864 -0.437
-1.280 7.323 5.798
Cs Hg Te H
4 2 4 2
direct
0.637 0.973 0.274
0.137 0.301 0.274
0.863 0.699 0.726
0.363 0.027 0.726
0.750 0.500 0.000
0.250 0.500 0.000
0.401 0.600 0.802
0.599 0.400 0.198
0.099 0.798 0.198
0.901 0.202 0.802
0.250 0.000 0.000
0.750 0.000 0.000

---

(11)
PBE-GGA Cs2TlHgH, relaxed; total energy = -1.576 eV per atom
1.0
-5.502 -1.809 1.817
1.985 -0.281 5.730
-1.375 4.901 0.716
Cs H Tl Hg
2 1 1 1
direct
0.000 0.500 0.000
0.500 0.000 0.000
0.000 0.000 0.000
0.000 0.000 0.500
0.500 0.500 0.500

---

(12)
PBE-GGA CsHo2H, relaxed; total energy = -3.219 eV per atom
1.0
3.652 0.000 0.000
1.826 3.163 0.000
1.826 1.054 10.103
Cs H Ho
1 1 2
direct
0.000 0.000 0.000
0.500 0.500 0.500
0.124 0.124 0.628
0.876 0.876 0.372